# 1
The following is a DFT calculation (PBE-GGA) of a geometry-optimized EuZnCdBi structure.

```
data_EuZnCdBi
_symmetry_space_group_name_H-M 'F -4 3 m'
_symmetry_Int_Tables_number 216
_symmetry_space_group_name_Hall 'F -4 2 3'
_cell_length_a 7.6068
_cell_length_b 7.6068
_cell_length_c 7.6068
_cell_angle_alpha 90.00
_cell_angle_beta 90.00
_cell_angle_gamma 90.00
loop_
_atom_site_label
_atom_site_fract_x
_atom_site_fract_y
_atom_site_fract_z
Eu1 0.0000 0.0000 0.0000
Zn1 0.2500 0.2500 0.2500
Cd1 0.0000 0.0000 0.5000
Bi1 0.2500 0.2500 0.7500
```

Output
Total magnetic moment: 7.030 μB/f.u.
Formation energy from the elements: -0.98 eV per formula unit
Electronic total energy: -4.33 eV per atom
Density of states at the Fermi level: 7.96 states/eV per cell


# 2
The following is a DFT calculation (PBE-GGA) of a geometry-optimized CdBiF5 structure.

```
data_CdBiF5
_symmetry_space_group_name_H-M 'C 1 2/c 1'
_symmetry_Int_Tables_number 15
_symmetry_space_group_name_Hall '-C 2yc'
_cell_length_a 7.2958
_cell_length_b 7.0861
_cell_length_c 7.8328
_cell_angle_alpha 90.00
_cell_angle_beta 94.40
_cell_angle_gamma 90.00
loop_
_atom_site_label
_atom_site_fract_x
_atom_site_fract_y
_atom_site_fract_z
Cd1 0.0000 0.0000 0.0000
Bi1 0.0000 0.4821 0.2500
F1 0.0000 0.1566 0.7500
F2 0.1438 0.2267 0.1614
F3 0.1791 0.4303 0.5033
```

Output
Total magnetic moment: 0.000 μB/f.u.
Electronic total energy: -4.31 eV per atom
Density of states at the Fermi level: 0.00 states/eV per cell
Raw formation energy: -2.29 eV/atom
Excess energy over the best structure of this formula in the dataset: 0.00 eV per formula unit


# 3
The following is a DFT calculation (PBE-GGA) of a geometry-optimized CdBiF3 structure.

```
data_CdBiF3
_symmetry_space_group_name_H-M 'P m -3 m'
_symmetry_Int_Tables_number 221
_symmetry_space_group_name_Hall '-P 4 2 3'
_cell_length_a 4.6589
_cell_length_b 4.6589
_cell_length_c 4.6589
_cell_angle_alpha 90.00
_cell_angle_beta 90.00
_cell_angle_gamma 90.00
loop_
_atom_site_label
_atom_site_fract_x
_atom_site_fract_y
_atom_site_fract_z
Cd1 0.0000 0.0000 0.0000
Bi1 0.5000 0.5000 0.5000
F1 0.0000 0.5000 0.5000
```

Output
Total magnetic moment: 0.000 μB/f.u.
Electronic total energy: -3.81 eV per atom
Density of states at the Fermi level: 0.00 states/eV per cell
Raw formation energy: -1.73 eV/atom
Excess energy over the best structure of this formula in the dataset: 0.00 eV per formula unit


# 4
The following is a DFT calculation (PBE-GGA) of a geometry-optimized CdBiF2 structure.

```
data_CdBiF2
_symmetry_space_group_name_H-M 'I -4 2 d'
_symmetry_Int_Tables_number 122
_symmetry_space_group_name_Hall 'I -4 2bw'
_cell_length_a 7.3043
_cell_length_b 7.3043
_cell_length_c 6.0893
_cell_angle_alpha 90.00
_cell_angle_beta 90.00
_cell_angle_gamma 90.00
loop_
_atom_site_label
_atom_site_fract_x
_atom_site_fract_y
_atom_site_fract_z
Cd1 0.0000 0.0000 0.0000
Bi1 0.0000 0.0000 0.5000
F1 0.1901 0.2500 0.6250
```

Output
Total magnetic moment: 0.000 μB/f.u.
Electronic total energy: -3.39 eV per atom
Density of states at the Fermi level: 5.09 states/eV per cell
Raw formation energy: -1.26 eV/atom
Excess energy over the best structure of this formula in the dataset: 0.69 eV per formula unit


# 5
The following is a DFT calculation (PBE-GGA) of a geometry-optimized CdBiF2 structure.

```
data_CdBiF2
_symmetry_space_group_name_H-M 'R -3 m'
_symmetry_Int_Tables_number 166
_symmetry_space_group_name_Hall '-R 3 2"'
_cell_length_a 3.2312
_cell_length_b 3.2312
_cell_length_c 26.1414
_cell_angle_alpha 90.00
_cell_angle_beta 90.00
_cell_angle_gamma 120.00
loop_
_atom_site_label
_atom_site_fract_x
_atom_site_fract_y
_atom_site_fract_z
Cd1 0.0000 0.0000 0.0000
Bi1 0.0000 0.0000 0.5000
F1 0.0000 0.0000 0.0975
```

Output
Total magnetic moment: 0.000 μB/f.u.
Electronic total energy: -3.43 eV per atom
Density of states at the Fermi level: 5.95 states/eV per cell
Raw formation energy: -1.29 eV/atom
Excess energy over the best structure of this formula in the dataset: 0.56 eV per formula unit


# 6
The following is a DFT calculation (PBE-GGA) of a geometry-optimized CdBi2F8 structure.

```
data_CdBi2F8
_symmetry_space_group_name_H-M 'C 1 2/m 1'
_symmetry_Int_Tables_number 12
_symmetry_space_group_name_Hall '-C 2y'
_cell_length_a 14.8033
_cell_length_b 3.8100
_cell_length_c 5.6336
_cell_angle_alpha 90.00
_cell_angle_beta 109.59
_cell_angle_gamma 90.00
loop_
_atom_site_label
_atom_site_fract_x
_atom_site_fract_y
_atom_site_fract_z
Cd1 0.0000 0.0000 0.0000
Bi1 0.1732 0.5000 0.6813
F1 0.0365 0.5000 0.8111
F2 0.0948 0.0000 0.4395
F3 0.1755 0.0000 0.9645
F4 0.2172 0.5000 0.3237
```

Output
Total magnetic moment: 0.000 μB/f.u.
Electronic total energy: -4.51 eV per atom
Density of states at the Fermi level: 0.00 states/eV per cell
Raw formation energy: -2.36 eV/atom
Excess energy over the best structure of this formula in the dataset: 0.00 eV per formula unit